1.
Computed, not measured: a relaxed structure of SiHgPt2 at the PBE level of DFT.

Formation energy from raw total energies ... -0.89 eV/f.u.
ΔE to the lowest computed polymorph ... 79 meV per atom
M_tot ... 0.0 μB/f.u.
Fermi-level density of states ... 2.1 states/eV/cell

```
SiHgPt2
1.0
-3.559 3.559 2.797
3.559 -3.559 2.797
3.559 3.559 -2.797
Si Hg Pt
2 2 4
Cartesian
0.000 0.000 0.000
0.000 3.559 1.398
3.559 0.000 1.398
0.000 0.000 2.797
5.339 1.346 -0.699
1.346 1.780 0.699
-1.780 2.214 2.098
2.214 1.780 3.496
```

2.
Computed, not measured: a relaxed structure of Si2HgPt at the PBE level of DFT.

Formation energy from raw total energies ... 0.73 eV/f.u.
M_tot ... 0.0 μB/f.u.
Fermi-level density of states ... 1.8 states/eV/cell

```
Si2HgPt
1.0
-1.385 2.484 5.283
1.385 -2.484 5.283
1.385 2.484 -5.283
Si Hg Pt
2 1 1
Cartesian
0.000 0.000 2.205
0.000 0.000 8.362
0.000 2.484 0.000
1.385 0.000 0.000
```

3.
Computed, not measured: a relaxed structure of Si2HgPt at the PBE level of DFT.

Formation energy from raw total energies ... 0.38 eV/f.u.
M_tot ... 0.0 μB/f.u.
Fermi-level density of states ... 1.5 states/eV/cell

```
Si2HgPt
1.0
2.804 0.000 0.000
0.000 3.522 0.000
0.000 0.000 7.598
Si Hg Pt
2 1 1
Cartesian
0.000 0.000 1.401
0.000 0.000 6.197
1.402 1.761 3.799
1.402 1.761 0.000
```

4.
Computed, not measured: a relaxed structure of SiHg2Pt at the PBE level of DFT.

Formation energy from raw total energies ... 1.12 eV/f.u.
M_tot ... 0.0 μB/f.u.
Fermi-level density of states ... 1.5 states/eV/cell

```
SiHg2Pt
1.0
3.822 0.000 0.000
0.000 3.822 0.000
0.000 0.000 5.295
Si Hg Pt
1 2 1
Cartesian
0.000 0.000 0.000
1.911 1.911 1.329
1.911 1.911 3.965
0.000 0.000 2.647
```

5.
Computed, not measured: a relaxed structure of SiHg2Pt at the PBE level of DFT.

Formation energy from raw total energies ... -0.62 eV/f.u.
M_tot ... 0.0 μB/f.u.
Fermi-level density of states ... 1.9 states/eV/cell

```
SiHg2Pt
1.0
3.075 -1.787 0.000
3.075 1.787 0.000
-0.017 0.000 8.088
Si Hg Pt
1 2 1
Cartesian
0.000 0.000 0.000
4.090 0.000 4.869
6.115 0.000 2.587
2.038 0.000 6.986
```

6.
Computed, not measured: a relaxed structure of Si2HgPt at the PBE level of DFT.

Formation energy from raw total energies ... 1.47 eV/f.u.
M_tot ... 0.0 μB/f.u.
Fermi-level density of states ... 1.9 states/eV/cell

```
Si2HgPt
1.0
3.713 0.000 0.000
0.000 4.293 0.000
0.000 0.000 4.320
Si Hg Pt
2 1 1
Cartesian
0.000 0.000 0.000
0.000 2.146 2.160
1.856 0.000 2.160
1.856 2.146 0.000
```

7.
Computed, not measured: a relaxed structure of SiHg2Pt at the PBE level of DFT.

Formation energy from raw total energies ... 1.45 eV/f.u.
M_tot ... 0.0 μB/f.u.
Fermi-level density of states ... 3.3 states/eV/cell

```
SiHg2Pt
1.0
-3.899 3.899 2.682
3.899 -3.899 2.682
3.899 3.899 -2.682
Si Hg Pt
2 4 2
Cartesian
0.000 0.000 0.000
0.000 3.899 1.341
1.949 1.852 -0.671
2.046 -1.949 3.353
1.949 2.046 2.012
1.852 5.848 0.671
3.899 0.000 1.341
0.000 0.000 2.682
```

8.
Computed, not measured: a relaxed structure of SiHgPt2 at the PBE level of DFT.

Formation energy from raw total energies ... 0.66 eV/f.u.
ΔE to the lowest computed polymorph ... 466 meV per atom
M_tot ... 0.0 μB/f.u.
Fermi-level density of states ... 2.3 states/eV/cell

```
SiHgPt2
1.0
0.000 3.233 3.233
3.233 0.000 3.233
3.233 3.233 0.000
Si Hg Pt
1 1 2
Cartesian
0.000 0.000 0.000
4.849 4.849 4.849
1.616 1.616 1.616
3.233 3.233 3.233
```

- Number 3 is which compound?
  Si2HgPt

- Fermi-level density of states of number 3 (Si2HgPt)?
  1.5 states/eV/cell